Record 1
Density functional theory data (PBE) for a relaxed ScTe4Ru crystal.

Cell: 6.1564 6.1564 6.1564 Å, 60.00 60.00 60.00°
Closest atoms and distances in Å follow each position.
Fractional positions:
Sc  0.0000  0.0000  0.0000  12 Te 3.61, 4 Ru 3.77
Te  0.1262  0.6246  0.6246  6 Te 3.07-3.09
Te  0.6246  0.1262  0.6246  6 Te 3.07-3.09
Te  0.6246  0.6246  0.1262  6 Te 3.07-3.09
Te  0.6246  0.6246  0.6246  6 Te 3.07-3.09
Ru  0.2500  0.2500  0.2500  12 Te 3.61, 4 Sc 3.77

Summary:
DOS(E_F) ... 5.54 states/eV/f.u.
ΔE_f (raw) ... 0.847 eV/atom
Calculated volume ... 165 Å³/cell

Record 2
Density functional theory data (PBE) for a relaxed Sc2TeRu crystal.

Cell: 3.9994 3.9994 9.7014 Å, 90.00 90.00 90.00°
Closest atoms and distances in Å follow each position.
Fractional positions:
Sc  0.0000  0.0000  0.0000  4 Ru 2.83, 4 Sc 3.14, 4 Te 3.14
Sc  0.0000  0.5000  0.2500  4 Te 2.83, 4 Sc 3.14, 4 Ru 3.14
Sc  0.5000  0.0000  0.7500  4 Te 2.83, 4 Sc 3.14, 4 Ru 3.14
Sc  0.5000  0.5000  0.5000  4 Ru 2.83, 4 Sc 3.14, 4 Te 3.14
Te  0.0000  0.5000  0.7500  8 Sc 2.83-3.14, 4 Ru 3.14
Te  0.5000  0.0000  0.2500  8 Sc 2.83-3.14, 4 Ru 3.14
Ru  0.0000  0.0000  0.5000  8 Sc 2.83-3.14, 4 Te 3.14
Ru  0.5000  0.5000  0.0000  8 Sc 2.83-3.14, 4 Te 3.14

Summary:
DOS(E_F) ... 1.97 states/eV/f.u.
ΔE_f (raw) ... -0.510 eV/atom
Calculated volume ... 155 Å³/cell

Record 3
Density functional theory data (PBE) for a relaxed Sc2TeRu crystal.

Cell: 3.2688 3.2688 7.7937 Å, 90.00 90.00 90.00°
Closest atoms and distances in Å follow each position.
Fractional positions:
Sc  0.0000  0.0000  0.0000  4 Ru 2.83
Sc  0.5000  0.5000  0.3197  4 Te 3.08, 8 Sc 3.27-3.40
Te  0.0000  0.0000  0.5809  4 Ru 2.83, 4 Sc 3.08
Ru  0.5000  0.5000  0.7910  4 Sc 2.83, 4 Te 2.83

Summary:
DOS(E_F) ... 4.30 states/eV/f.u.
ΔE_f (raw) ... -0.203 eV/atom
Calculated volume ... 83 Å³/cell